Material: LiIn2F2
Method: DFT, PBE-GGA
State: optimized geometry

E_form (uncorrected) = -1.626 eV per atom
Magnetic moment = 0.00 Bohr magnetons per cell
DOS at the Fermi energy = 1.7 states/eV per cell
Energy relative to the lowest polymorph listed for this composition = 0 meV per atom
E = -3.85 eV/atom

Unit cell a=5.979 b=5.979 c=4.904 alpha=90.00 beta=90.00 gamma=90.00
Space group P4/mbm (No. 127)
Symmetry-distinct sites (fractional):
Li (0.000, 0.000, 0.000)
In (0.189, 0.311, 0.500)
F (0.226, 0.274, 0.000)